The following is a PBE calculation of crystalline AcThPdAu at its relaxed geometry, from Alexandria.

Values from the calculation:
formation energy from the elements = -591 meV/atom
SG = F-43m (216)
total moment = 0.00 μB per cell

a b c (Å): 5.324 5.324 5.324
angles (deg): 60.00 60.00 60.00
Fractional positions:
Ac (0.000, 0.000, 0.000)
Th (0.500, 0.500, 0.500)
Pd (0.250, 0.250, 0.250)
Au (0.750, 0.750, 0.750)